## Y3Tl4BiTe8 (PBE)

Data for a relaxed structure of Y3Tl4BiTe8.

a = 9.6470 Å, b = 9.6470 Å, c = 9.6470 Å
α = 55.50°, β = 55.50°, γ = 55.50°
Closest atoms and distances in Å follow each position.
Atoms (fractional coordinates):
Y  0.0000  0.5000  0.5000  6 Te 3.11-3.12
Y  0.5000  0.0000  0.5000  6 Te 3.11-3.12
Y  0.5000  0.5000  0.0000  6 Te 3.11-3.12
Tl  0.0000  0.0000  0.5000  6 Te 3.49
Tl  0.0000  0.5000  0.0000  6 Te 3.49
Tl  0.5000  0.0000  0.0000  6 Te 3.49
Tl  0.5000  0.5000  0.5000  6 Te 3.45
Bi  0.0000  0.0000  0.0000  6 Te 3.16
Te  0.2411  0.2411  0.7333  2 Y 3.11, 1 Bi 3.16, 1 Tl 3.45
Te  0.2411  0.7333  0.2411  2 Y 3.11, 1 Bi 3.16, 1 Tl 3.45
Te  0.2622  0.2622  0.2622  3 Y 3.12, 3 Tl 3.49
Te  0.2667  0.7589  0.7589  2 Y 3.11, 1 Bi 3.16, 1 Tl 3.45
Te  0.7333  0.2411  0.2411  2 Y 3.11, 1 Bi 3.16, 1 Tl 3.45
Te  0.7378  0.7378  0.7378  3 Y 3.12, 3 Tl 3.49
Te  0.7589  0.2667  0.7589  2 Y 3.11, 1 Bi 3.16, 1 Tl 3.45
Te  0.7589  0.7589  0.2667  2 Y 3.11, 1 Bi 3.16, 1 Tl 3.45

Output
crystal system	trigonal
DFT total energy	-4.49	eV per atom
uncorrected formation energy	-20.18	kcal/mol of atoms
M_tot	0.000	μB per cell


## CaTb3Sm2 (PBE)

Data for a relaxed structure of CaTb3Sm2.

a = 6.7435 Å, b = 6.7435 Å, c = 10.7719 Å
α = 90.00°, β = 90.00°, γ = 120.00°
Closest atoms and distances in Å follow each position.
Atoms (fractional coordinates):
Ca  0.3333  0.6667  0.4361  4 Sm 3.92-3.95, 9 Tb 3.98, 3 Ca 4.13
Ca  0.6667  0.3333  0.5639  4 Sm 3.92-3.95, 9 Tb 3.98, 3 Ca 4.13
Tb  0.1700  0.3400  0.7599  2 Sm 3.26-3.43, 4 Tb 3.30-3.44
Tb  0.1700  0.8300  0.7599  2 Sm 3.26-3.43, 4 Tb 3.30-3.44
Tb  0.3400  0.1700  0.2401  2 Sm 3.26-3.43, 4 Tb 3.30-3.44
Tb  0.6600  0.8300  0.7599  2 Sm 3.26-3.43, 4 Tb 3.30-3.44
Tb  0.8300  0.1700  0.2401  2 Sm 3.26-3.43, 4 Tb 3.30-3.44
Tb  0.8300  0.6600  0.2401  2 Sm 3.26-3.43, 4 Tb 3.30-3.44
Sm  0.0000  0.0000  0.0000  6 Tb 3.26
Sm  0.0000  0.0000  0.5000  6 Tb 3.43
Sm  0.3333  0.6667  0.0722  9 Tb 3.83-3.87, 1 Ca 3.92, 6 Sm 3.97-4.19
Sm  0.6667  0.3333  0.9278  9 Tb 3.83-3.87, 1 Ca 3.92, 6 Sm 3.97-4.19

Output
crystal system	trigonal
calculated formation energy	211	meV/atom
DFT total energy	-4.01	eV per atom
M_tot	0.000	μB per cell


## La4Sm3Tm (PBE)

Data for a relaxed structure of La4Sm3Tm.

a = 7.5971 Å, b = 7.5971 Å, c = 5.9873 Å
α = 90.00°, β = 90.00°, γ = 125.35°
Closest atoms and distances in Å follow each position.
Atoms (fractional coordinates):
La  0.2207  0.2207  0.5000  1 La 3.08, 2 Tm 3.37, 2 Sm 3.38
La  0.2465  0.7535  0.0000  1 Tm 3.33, 5 Sm 3.42-3.46, 2 La 3.49
La  0.7535  0.2465  0.0000  1 Tm 3.33, 5 Sm 3.42-3.46, 2 La 3.49
La  0.7793  0.7793  0.5000  1 La 3.08, 2 Tm 3.37, 2 Sm 3.38
Sm  0.0000  0.5000  0.5000  6 La 3.38-3.46, 2 Sm 3.49
Sm  0.5000  0.0000  0.5000  6 La 3.38-3.46, 2 Sm 3.49
Sm  0.5000  0.5000  0.0000  6 La 3.42-3.57, 2 Tm 3.49
Tm  0.0000  0.0000  0.0000  6 La 3.33-3.37, 2 Sm 3.49

Output
crystal system	orthorhombic
calculated formation energy	347	meV/atom
DFT total energy	-4.45	eV per atom
M_tot	0.000	μB per cell
relative energy among the computed polymorphs	3.17	kcal/mol of atoms


## La4Tb9Nd11 (PBE)

Data for a relaxed structure of La4Tb9Nd11.

a = 15.4768 Å, b = 15.4768 Å, c = 3.7554 Å
α = 90.00°, β = 90.00°, γ = 112.56°
Closest atoms and distances in Å follow each position.
Atoms (fractional coordinates):
La  0.0540  0.2552  0.0000  6 Nd 3.34-3.47, 3 Tb 3.64-3.71
La  0.2552  0.0540  0.0000  6 Nd 3.34-3.47, 3 Tb 3.64-3.71
La  0.7448  0.9460  0.0000  6 Nd 3.34-3.47, 3 Tb 3.64-3.71
La  0.9460  0.7448  0.0000  6 Nd 3.34-3.47, 3 Tb 3.64-3.71
Tb  0.0000  0.0000  0.0000  4 La 3.71, 2 Tb 3.76, 8 Nd 3.96-4.09
Tb  0.1365  0.6623  0.0000  3 Tb 3.46-3.76, 8 Nd 3.55-3.81, 1 La 3.64
Tb  0.2895  0.4348  0.0000  8 Nd 3.55-3.74, 1 La 3.64, 3 Tb 3.74-3.76
Tb  0.3377  0.8635  0.0000  3 Tb 3.46-3.76, 8 Nd 3.55-3.81, 1 La 3.64
Tb  0.4348  0.2895  0.0000  8 Nd 3.55-3.74, 1 La 3.64, 3 Tb 3.74-3.76
Tb  0.5652  0.7105  0.0000  8 Nd 3.55-3.74, 1 La 3.64, 3 Tb 3.74-3.76
Tb  0.6623  0.1365  0.0000  3 Tb 3.46-3.76, 8 Nd 3.55-3.81, 1 La 3.64
Tb  0.7105  0.5652  0.0000  8 Nd 3.55-3.74, 1 La 3.64, 3 Tb 3.74-3.76
Tb  0.8635  0.3377  0.0000  3 Tb 3.46-3.76, 8 Nd 3.55-3.81, 1 La 3.64
Nd  0.0931  0.4551  0.5000  2 La 3.47, 6 Tb 3.55-3.81, 3 Nd 3.65-3.76
Nd  0.1353  0.8647  0.5000  4 La 3.37, 4 Tb 3.66, 2 Nd 3.76
Nd  0.2115  0.2115  0.5000  4 La 3.34, 4 Tb 3.71
Nd  0.3418  0.6582  0.5000  8 Tb 3.71-3.74, 5 Nd 3.76-4.07
Nd  0.4551  0.0931  0.5000  2 La 3.47, 6 Tb 3.55-3.81, 3 Nd 3.65-3.76
Nd  0.5000  0.5000  0.5000  8 Tb 3.55, 2 Nd 3.76
Nd  0.5449  0.9069  0.5000  2 La 3.47, 6 Tb 3.55-3.81, 3 Nd 3.65-3.76
Nd  0.6582  0.3418  0.5000  8 Tb 3.71-3.74, 5 Nd 3.76-4.07
Nd  0.7885  0.7885  0.5000  4 La 3.34, 4 Tb 3.71
Nd  0.8647  0.1353  0.5000  4 La 3.37, 4 Tb 3.66, 2 Nd 3.76
Nd  0.9069  0.5449  0.5000  2 La 3.47, 6 Tb 3.55-3.81, 3 Nd 3.65-3.76

Output
crystal system	orthorhombic
calculated formation energy	71	meV/atom
DFT total energy	-4.67	eV per atom
M_tot	0.000	μB per cell


## Na2TePdW (PBE)

Data for a relaxed structure of Na2TePdW.

a = 5.1161 Å, b = 5.1161 Å, c = 4.9865 Å
α = 90.00°, β = 90.00°, γ = 90.00°
Closest atoms and distances in Å follow each position.
Atoms (fractional coordinates):
Na  0.0000  0.5000  0.0000  2 Pd 2.56
Na  0.5000  0.0000  0.0000  2 Pd 2.56
Te  0.0000  0.0000  0.5000  8 Na 3.57, 4 W 3.62
Pd  0.5000  0.5000  0.0000  2 W 2.49, 4 Na 2.56
W  0.5000  0.5000  0.5000  2 Pd 2.49

Output
crystal system	tetragonal
DFT total energy	-4.00	eV per atom
uncorrected formation energy	18.22	kcal/mol of atoms
M_tot	2.915	μB per cell


## CsY2NiS (PBE)

Data for a relaxed structure of CsY2NiS.

a = 5.6598 Å, b = 5.6598 Å, c = 4.5495 Å
α = 90.00°, β = 90.00°, γ = 90.00°
Closest atoms and distances in Å follow each position.
Atoms (fractional coordinates):
Cs  0.0000  0.0000  0.0000  2 Ni 2.27
Y  0.0000  0.5000  0.0000  2 Cs 2.83
Y  0.5000  0.0000  0.0000  2 Cs 2.83
Ni  0.0000  0.0000  0.5000  2 Cs 2.27
S  0.5000  0.5000  0.5000  8 Y 3.63, 4 Ni 4.00

Output
crystal system	tetragonal
DFT total energy	-3.41	eV per atom
uncorrected formation energy	30.69	kcal/mol of atoms
M_tot	0.000	μB per cell


## NiPdC3 (PBE)

Data for a relaxed structure of NiPdC3.

a = 3.9795 Å, b = 3.9795 Å, c = 3.9795 Å
α = 90.00°, β = 90.00°, γ = 90.00°
Closest atoms and distances in Å follow each position.
Atoms (fractional coordinates):
Ni  0.0000  0.0000  0.0000  12 C 2.81
Pd  0.5000  0.5000  0.5000  6 C 1.99
C  0.0000  0.5000  0.5000  2 Pd 1.99
C  0.5000  0.0000  0.5000  2 Pd 1.99
C  0.5000  0.5000  0.0000  2 Pd 1.99

Output
crystal system	cubic
calculated formation energy	2870	meV/atom
DFT total energy	-4.86	eV per atom
M_tot	0.000	μB per cell
relative energy among the computed polymorphs	14.81	kcal/mol of atoms


## CeBi2O6 (PBE)

Data for a relaxed structure of CeBi2O6.

a = 5.2214 Å, b = 5.9678 Å, c = 9.8685 Å
α = 90.00°, β = 90.00°, γ = 90.00°
Closest atoms and distances in Å follow each position.
Atoms (fractional coordinates):
Ce  0.0000  0.0000  0.0000  6 O 2.21-2.32
Ce  0.5000  0.5000  0.5000  6 O 2.21-2.32
Bi  0.0000  0.5000  0.1878  6 O 2.23-2.30
Bi  0.0000  0.5000  0.8122  6 O 2.23-2.30
Bi  0.5000  0.0000  0.3122  6 O 2.23-2.30
Bi  0.5000  0.0000  0.6878  6 O 2.23-2.30
O  0.1804  0.3344  0.0000  1 Ce 2.21, 2 Bi 2.30
O  0.2266  0.8276  0.1734  2 Bi 2.23-2.29, 1 Ce 2.32
O  0.2266  0.8276  0.8266  2 Bi 2.23-2.29, 1 Ce 2.32
O  0.2734  0.3276  0.3266  2 Bi 2.23-2.29, 1 Ce 2.32
O  0.2734  0.3276  0.6734  2 Bi 2.23-2.29, 1 Ce 2.32
O  0.3196  0.8344  0.5000  1 Ce 2.21, 2 Bi 2.30
O  0.6804  0.1656  0.5000  1 Ce 2.21, 2 Bi 2.30
O  0.7266  0.6724  0.3266  2 Bi 2.23-2.29, 1 Ce 2.32
O  0.7266  0.6724  0.6734  2 Bi 2.23-2.29, 1 Ce 2.32
O  0.7734  0.1724  0.1734  2 Bi 2.23-2.29, 1 Ce 2.32
O  0.7734  0.1724  0.8266  2 Bi 2.23-2.29, 1 Ce 2.32
O  0.8196  0.6656  0.0000  1 Ce 2.21, 2 Bi 2.30

Output
crystal system	orthorhombic
DFT total energy	-6.48	eV per atom
uncorrected formation energy	-38.13	kcal/mol of atoms
M_tot	0.000	μB per cell


## AcSc2O4 (PBE)

Data for a relaxed structure of AcSc2O4.

a = 8.8468 Å, b = 8.8468 Å, c = 8.8468 Å
α = 25.15°, β = 25.15°, γ = 25.15°
Closest atoms and distances in Å follow each position.
Atoms (fractional coordinates):
Ac  0.0000  0.0000  0.0000  6 O 2.50
Sc  0.2104  0.2104  0.2104  5 O 2.03-2.23
Sc  0.7896  0.7896  0.7896  5 O 2.03-2.23
O  0.1261  0.1261  0.1261  4 Sc 2.16-2.23
O  0.2893  0.2893  0.2893  1 Sc 2.03
O  0.7107  0.7107  0.7107  1 Sc 2.03
O  0.8739  0.8739  0.8739  4 Sc 2.16-2.23

Output
crystal system	trigonal
DFT total energy	-8.45	eV per atom
uncorrected formation energy	-74.32	kcal/mol of atoms
M_tot	0.478	μB per cell
relative energy among the computed polymorphs	0.00	kcal/mol of atoms


## Eu2TmCu (PBE)

Data for a relaxed structure of Eu2TmCu.

a = 3.6518 Å, b = 3.6518 Å, c = 8.9031 Å
α = 90.00°, β = 90.00°, γ = 90.00°
Closest atoms and distances in Å follow each position.
Atoms (fractional coordinates):
Eu  0.0000  0.0000  0.1989  4 Cu 3.13
Eu  0.0000  0.0000  0.8011  4 Cu 3.13
Tm  0.5000  0.5000  0.5000  4 Tm 3.65, 8 Eu 3.72
Cu  0.5000  0.5000  0.0000  8 Eu 3.13

Output
crystal system	tetragonal
calculated formation energy	39	meV/atom
DFT total energy	-7.24	eV per atom
M_tot	14.952	μB per cell
relative energy among the computed polymorphs	0.00	kcal/mol of atoms


## Ba2PaSbSe6 (PBE)

Data for a relaxed structure of Ba2PaSbSe6.

a = 7.4650 Å, b = 7.8960 Å, c = 13.0957 Å
α = 90.00°, β = 124.30°, γ = 90.00°
Closest atoms and distances in Å follow each position.
Atoms (fractional coordinates):
Ba  0.2229  0.0783  0.2482  6 Se 3.30-3.52
Ba  0.2229  0.4217  0.7482  6 Se 3.30-3.52
Ba  0.7771  0.5783  0.2518  6 Se 3.30-3.52
Ba  0.7771  0.9217  0.7518  6 Se 3.30-3.52
Pa  0.5000  0.0000  0.0000  6 Se 2.76-2.80
Pa  0.5000  0.5000  0.5000  6 Se 2.76-2.80
Sb  0.0000  0.0000  0.5000  6 Se 2.84-2.88
Sb  0.0000  0.5000  0.0000  6 Se 2.84-2.88
Se  0.1504  0.1930  0.9533  1 Pa 2.78, 1 Sb 2.88
Se  0.1504  0.3070  0.4533  1 Pa 2.78, 1 Sb 2.88
Se  0.2626  0.7016  0.9504  1 Pa 2.80, 1 Sb 2.87
Se  0.2626  0.7984  0.4504  1 Pa 2.80, 1 Sb 2.87
Se  0.3495  0.0189  0.7536  1 Pa 2.76, 1 Sb 2.84
Se  0.3495  0.4811  0.2536  1 Pa 2.76, 1 Sb 2.84
Se  0.6505  0.5189  0.7464  1 Pa 2.76, 1 Sb 2.84
Se  0.6505  0.9811  0.2464  1 Pa 2.76, 1 Sb 2.84
Se  0.7374  0.2016  0.5496  1 Pa 2.80, 1 Sb 2.87
Se  0.7374  0.2984  0.0496  1 Pa 2.80, 1 Sb 2.87
Se  0.8496  0.6930  0.5467  1 Pa 2.78, 1 Sb 2.88
Se  0.8496  0.8070  0.0467  1 Pa 2.78, 1 Sb 2.88

Output
crystal system	monoclinic
DFT total energy	-5.23	eV per atom
uncorrected formation energy	-32.06	kcal/mol of atoms
M_tot	0.000	μB per cell